An optimized crystal structure of Ac2PmVO6, computed with PBE with a Hubbard U.

Computed properties:
Total energy   -160.86 eV for the cell shown
Spin magnetization   4.0 Bohr magnetons per cell
Space group   P2_1/c, No. 14
D(E_F)   0.00 states/eV/cell

Lattice parameters (Å, degrees): 5.917 6.060 8.522 90.00 89.18 90.00
Fractional positions:
Ac  0.014  0.952  0.251
Ac  0.514  0.548  0.751
Ac  0.986  0.048  0.749
Ac  0.486  0.452  0.249
Pm  0.500  0.000  0.500
Pm  0.000  0.500  0.000
V  0.500  0.000  0.000
V  0.000  0.500  0.500
O  0.314  0.718  0.057
O  0.814  0.782  0.557
O  0.686  0.282  0.943
O  0.186  0.218  0.443
O  0.280  0.691  0.447
O  0.780  0.809  0.947
O  0.720  0.309  0.553
O  0.220  0.191  0.053
O  0.897  0.538  0.264
O  0.397  0.962  0.764
O  0.103  0.462  0.736
O  0.603  0.038  0.236